Density functional theory data (PBE-GGA) for crystalline YRe2SnIr at its relaxed geometry.

Cell and atoms, written as extended XYZ:
```
5
Lattice="4.848 0.000 0.000 0.000 4.929 0.000 0.000 0.000 4.848" Properties=species:S:1:pos:R:3 pbc="T T T"
Y 2.424 2.464 2.424
Re 0.000 0.000 2.424
Re 2.424 0.000 0.000
Ir 0.000 0.000 0.000
Sn 0.000 2.464 0.000
```

- Raw total energy: -7.7390 eV per atom
- Symmetry: P4/mmm, No. 123

Density functional theory data (PBE-GGA) for crystalline SrReIr2 at its relaxed geometry.

Cell and atoms, written as extended XYZ:
```
4
Lattice="-0.882 1.384 2.250 -3.072 -2.464 0.312 3.810 -4.232 4.097" Properties=species:S:1:pos:R:3 pbc="T T T"
Ir 0.208 -0.231 0.223
Ir -0.962 -1.667 2.372
Re 1.585 -1.761 1.705
Sr 0.931 -3.769 4.407
```

- Distance to the lowest polymorph of the same formula: 350.4 meV/atom
- Symmetry: Pmm2, No. 25

Density functional theory data (PBE-GGA) for crystalline Sr2ReIr at its relaxed geometry.

Cell and atoms, written as extended XYZ:
```
4
Lattice="-0.033 2.025 -2.291 -1.868 -1.827 -1.588 -7.531 4.300 3.910" Properties=species:S:1:pos:R:3 pbc="T T T"
Ir -2.833 1.174 -0.962
Re -6.598 3.324 0.993
Sr -0.148 0.084 0.077
Sr -3.618 2.066 1.878
```

- Distance to the lowest polymorph of the same formula: 522.3 meV/atom
- Symmetry: P4/mmm, No. 123

Density functional theory data (PBE-GGA) for crystalline Sr2ReIr at its relaxed geometry.

Cell and atoms, written as extended XYZ:
```
4
Lattice="3.086 0.000 0.000 0.000 3.793 0.000 0.000 0.000 9.198" Properties=species:S:1:pos:R:3 pbc="T T T"
Ir 0.000 0.000 5.278
Re 1.543 1.897 6.178
Sr 0.000 0.000 8.516
Sr 1.543 1.897 3.022
```

- Distance to the lowest polymorph of the same formula: 50.7 meV/atom
- Symmetry: Pmm2, No. 25

Density functional theory data (PBE-GGA) for crystalline SrReIr2 at its relaxed geometry.

Cell and atoms, written as extended XYZ:
```
4
Lattice="2.917 -0.001 0.000 0.001 2.917 0.000 0.000 0.000 8.402" Properties=species:S:1:pos:R:3 pbc="T T T"
Ir 0.000 0.000 0.391
Ir 0.000 0.000 3.810
Re 1.459 1.458 2.101
Sr 1.459 1.458 6.302
```

- Distance to the lowest polymorph of the same formula: 44.9 meV/atom
- Symmetry: P4/mmm, No. 123

Density functional theory data (PBE-GGA) for crystalline SrReIr2 at its relaxed geometry.

Cell and atoms, written as extended XYZ:
```
4
Lattice="-3.719 -1.274 2.011 -0.760 -4.289 0.724 1.018 -1.473 5.790" Properties=species:S:1:pos:R:3 pbc="T T T"
Ir -4.028 -5.495 3.612
Ir -2.182 -3.587 3.386
Re -0.865 -1.759 2.131
Sr -2.596 -5.277 6.394
```

- Distance to the lowest polymorph of the same formula: 0.0 meV/atom
- Symmetry: R-3m, No. 166

Density functional theory data (PBE-GGA) for crystalline SrReIr2 at its relaxed geometry.

Cell and atoms, written as extended XYZ:
```
4
Lattice="-5.025 2.429 -2.194 -3.405 -2.546 -4.229 2.514 0.144 5.443" Properties=species:S:1:pos:R:3 pbc="T T T"
Ir -8.183 -0.113 -6.234
Ir -3.313 1.258 0.057
Re -4.523 -0.063 -3.446
Sr -2.543 -1.230 -0.991
```

- Distance to the lowest polymorph of the same formula: 361.8 meV/atom
- Symmetry: Imm2, No. 44

Density functional theory data (PBE-GGA) for crystalline Sr2ReIr at its relaxed geometry.

Cell and atoms, written as extended XYZ:
```
4
Lattice="-1.943 -3.282 3.461 3.463 1.599 3.460 -2.347 2.600 1.148" Properties=species:S:1:pos:R:3 pbc="T T T"
Ir -2.145 -0.341 2.304
Re 0.558 2.099 2.304
Sr 0.000 0.000 0.000
Sr 0.760 -0.842 3.460
```

- Distance to the lowest polymorph of the same formula: 700.6 meV/atom
- Symmetry: P4/mmm, No. 123

Density functional theory data (PBE-GGA) for crystalline SrReIr2 at its relaxed geometry.

Cell and atoms, written as extended XYZ:
```
4
Lattice="5.454 0.003 -0.002 1.719 5.176 0.002 -2.878 -3.572 2.951" Properties=species:S:1:pos:R:3 pbc="T T T"
Ir 6.764 4.884 0.000
Ir 3.997 2.886 0.000
Re 3.082 -0.489 1.474
Sr 1.214 2.097 1.477
```

- Distance to the lowest polymorph of the same formula: 561.7 meV/atom
- Symmetry: Immm, No. 71

Density functional theory data (PBE-GGA) for crystalline Sr2ReIr at its relaxed geometry.

Cell and atoms, written as extended XYZ:
```
8
Lattice="-8.972 6.505 1.325 -5.430 -8.473 4.826 -6.383 -0.291 5.213" Properties=species:S:1:pos:R:3 pbc="T T T"
Re -7.201 -0.984 3.076
Re -9.507 -4.874 6.557
Ir 0.000 0.000 0.000
Ir -11.278 2.615 4.807
Sr -9.406 4.039 2.960
Sr -13.559 0.845 5.585
Sr -9.266 0.483 5.396
Sr -12.882 5.094 5.286
```

- Distance to the lowest polymorph of the same formula: 334.5 meV/atom
- Symmetry: I-42d, No. 122

Density functional theory data (PBE-GGA) for crystalline SrReIr2 at its relaxed geometry.

Cell and atoms, written as extended XYZ:
```
4
Lattice="2.784 0.000 0.000 0.000 5.288 -0.008 0.000 3.396 4.725" Properties=species:S:1:pos:R:3 pbc="T T T"
Ir 0.000 0.000 0.000
Ir 1.392 2.644 -0.004
Re 1.392 4.342 2.358
Sr 0.000 1.698 2.362
```

- Distance to the lowest polymorph of the same formula: 670.3 meV/atom
- Symmetry: P2/m, No. 10

Density functional theory data (PBE-GGA) for crystalline Sr2ReIr at its relaxed geometry.

Cell and atoms, written as extended XYZ:
```
4
Lattice="4.984 -0.023 0.000 0.018 4.984 0.000 -2.501 -2.481 3.526" Properties=species:S:1:pos:R:3 pbc="T T T"
Ir 2.501 2.481 0.000
Re 2.492 -0.011 1.763
Sr 0.000 0.000 0.000
Sr 0.009 2.492 1.763
```

- Distance to the lowest polymorph of the same formula: 597.5 meV/atom
- Symmetry: I-4m2, No. 119